Density functional theory data (GGA+U) for crystalline AcCrSeO2 at its relaxed geometry. Values from VASP.

Geometry as Quantum ESPRESSO input:
```
&SYSTEM
  ibrav = 0, nat = 10, ntyp = 4
/
ATOMIC_SPECIES
Ac 227.00 Ac.upf
Cr 52.00 Cr.upf
Se 78.96 Se.upf
O 16.00 O.upf
CELL_PARAMETERS angstrom
2.9754 -5.8946 0.0000
2.9754 5.8946 0.0000
0.0000 0.0000 5.6728
ATOMIC_POSITIONS crystal
Ac 0.1226 0.8774 0.7500
Ac 0.8774 0.1226 0.2500
Cr 0.4881 0.5119 0.2500
Cr 0.5119 0.4881 0.7500
Se 0.2719 0.7281 0.2500
Se 0.7281 0.2719 0.7500
O 0.2650 0.2650 0.0000
O 0.2650 0.2650 0.5000
O 0.7350 0.7350 0.0000
O 0.7350 0.7350 0.5000
```

Raw total energy ... -7.171 eV/atom
Symmetry ... No. 63